No. 1
Compound: Y2MnNi
Source: Alexandria via LeMat-Bulk
Functional: GGA-PBE
Structure: relaxed

Lattice parameters (Å, degrees): 3.716 5.795 5.795 43.87 90.00 90.00
Fractional coordinates of all 4 atoms:
Y: 0.000 0.000 0.000
Y: 0.500 0.291 0.291
Mn: 0.000 0.705 0.705
Ni: 0.500 0.570 0.570

## Properties
* magnetic moment: 2.254 μB/f.u.
* formation energy from the elements: -0.13 eV/atom
* crystal system: orthorhombic
* calculated volume: 21.62 A^3/atom

No. 2
Compound: CaAg3P
Source: Alexandria via LeMat-Bulk
Functional: GGA-PBE
Structure: relaxed

Lattice parameters (Å, degrees): 4.864 4.864 4.864 90.00 90.00 90.00
Fractional coordinates of all 5 atoms:
Ca: 0.000 0.000 0.000
Ag: 0.000 0.500 0.500
Ag: 0.500 0.000 0.500
Ag: 0.500 0.500 0.000
P: 0.500 0.500 0.500

## Properties
* magnetic moment: 0.000 μB/f.u.
* formation energy from the elements: 0.03 eV/atom
* energy above the most stable polymorph in this dataset: 0 meV per atom
* crystal system: cubic
* calculated volume: 23.01 A^3/atom

No. 3
Compound: Hf4Co2CuIr
Source: Alexandria via LeMat-Bulk
Functional: GGA-PBE
Structure: relaxed

Lattice parameters (Å, degrees): 7.882 7.882 7.882 33.47 33.47 33.47
Fractional coordinates of all 8 atoms:
Hf: 0.124 0.124 0.124
Hf: 0.374 0.374 0.374
Hf: 0.626 0.626 0.626
Hf: 0.876 0.876 0.876
Co: 0.251 0.251 0.251
Co: 0.749 0.749 0.749
Cu: 0.000 0.000 0.000
Ir: 0.500 0.500 0.500

## Properties
* magnetic moment: 1.799 μB/f.u.
* formation energy from the elements: -0.49 eV/atom
* crystal system: trigonal
* calculated volume: 16.58 A^3/atom

No. 4
Compound: AcTiGaO5
Source: Alexandria via LeMat-Bulk
Functional: GGA-PBE
Structure: relaxed

Lattice parameters (Å, degrees): 5.789 5.789 7.345 102.89 102.89 107.30
Fractional coordinates of all 16 atoms:
Ac: 0.170 0.830 0.750
Ac: 0.830 0.170 0.250
Ti: 0.500 0.500 0.000
Ti: 0.500 0.500 0.500
Ga: 0.186 0.814 0.250
Ga: 0.814 0.186 0.750
O: 0.137 0.257 0.922
O: 0.199 0.602 0.406
O: 0.257 0.137 0.422
O: 0.398 0.801 0.094
O: 0.441 0.559 0.750
O: 0.559 0.441 0.250
O: 0.602 0.199 0.906
O: 0.743 0.863 0.578
O: 0.801 0.398 0.594
O: 0.863 0.743 0.078

## Properties
* formation energy without anion corrections: -2843.3 meV per atom
* magnetic moment: 0.000 μB/f.u.
* crystal system: monoclinic
* calculated volume: 13.61 A^3/atom

No. 5
Compound: Tm4Ga16Fe3
Source: Alexandria via LeMat-Bulk
Functional: GGA-PBE
Structure: relaxed

Lattice parameters (Å, degrees): 5.992 5.992 11.109 90.00 90.00 90.00
Fractional coordinates of all 23 atoms:
Tm: 0.000 0.500 0.194
Tm: 0.000 0.500 0.806
Tm: 0.500 0.000 0.194
Tm: 0.500 0.000 0.806
Ga: 0.000 0.000 0.199
Ga: 0.000 0.000 0.801
Ga: 0.219 0.219 0.000
Ga: 0.219 0.781 0.000
Ga: 0.251 0.251 0.385
Ga: 0.251 0.251 0.615
Ga: 0.251 0.749 0.385
Ga: 0.251 0.749 0.615
Ga: 0.500 0.500 0.216
Ga: 0.500 0.500 0.784
Ga: 0.749 0.251 0.385
Ga: 0.749 0.251 0.615
Ga: 0.749 0.749 0.385
Ga: 0.749 0.749 0.615
Ga: 0.781 0.219 0.000
Ga: 0.781 0.781 0.000
Fe: 0.000 0.500 0.500
Fe: 0.500 0.000 0.500
Fe: 0.500 0.500 0.000

## Properties
* magnetic moment: 1.228 μB/f.u.
* formation energy from the elements: -0.43 eV/atom
* crystal system: tetragonal
* calculated volume: 17.34 A^3/atom

No. 6
Compound: Tl2SbW
Source: Alexandria via LeMat-Bulk
Functional: GGA-PBE
Structure: relaxed

Lattice parameters (Å, degrees): 5.015 5.015 3.668 90.00 90.00 90.00
Fractional coordinates of all 4 atoms:
Tl: 0.000 0.500 0.000
Tl: 0.500 0.000 0.000
Sb: 0.000 0.000 0.500
W: 0.500 0.500 0.500

## Properties
* formation energy without anion corrections: 1095.4 meV per atom
* magnetic moment: 0.003 μB/f.u.
* energy above the most stable polymorph in this dataset: 605 meV per atom
* crystal system: tetragonal
* calculated volume: 23.06 A^3/atom

No. 7
Compound: SrPr2MnN4
Source: Alexandria via LeMat-Bulk
Functional: GGA-PBE
Structure: relaxed

Lattice parameters (Å, degrees): 6.416 6.416 12.203 90.00 90.00 147.59
Fractional coordinates of all 16 atoms:
Sr: 0.104 0.896 0.750
Sr: 0.896 0.104 0.250
Pr: 0.369 0.631 0.543
Pr: 0.369 0.631 0.957
Pr: 0.631 0.369 0.043
Pr: 0.631 0.369 0.457
Mn: 0.178 0.822 0.250
Mn: 0.822 0.178 0.750
N: 0.000 0.000 0.000
N: 0.000 0.000 0.500
N: 0.263 0.737 0.130
N: 0.263 0.737 0.370
N: 0.390 0.610 0.750
N: 0.610 0.390 0.250
N: 0.737 0.263 0.630
N: 0.737 0.263 0.870

## Properties
* formation energy without anion corrections: -889.4 meV per atom
* magnetic moment: 2.742 μB/f.u.
* crystal system: orthorhombic
* calculated volume: 16.83 A^3/atom

No. 8
Compound: WBrCl2
Source: Alexandria via LeMat-Bulk
Functional: GGA-PBE
Structure: relaxed

Lattice parameters (Å, degrees): 3.030 3.030 9.401 90.00 90.00 90.00
Fractional coordinates of all 4 atoms:
W: 0.000 0.000 0.000
Br: 0.000 0.000 0.500
Cl: 0.500 0.500 0.158
Cl: 0.500 0.500 0.842

## Properties
* formation energy without anion corrections: 295.2 meV per atom
* magnetic moment: 0.001 μB/f.u.
* energy above the most stable polymorph in this dataset: 642 meV per atom
* crystal system: tetragonal
* calculated volume: 21.58 A^3/atom

magnetic moment of number 1 (Y2MnNi)?
2.254 μB/f.u.